i | Computed, not measured: an optimized crystal structure of NaTaBr2 at the GGA-PBE level of DFT.

Output
**Crystal system**: tetragonal
**Magnetization**: 0.000 Bohr magnetons per cell
**Density of states at the Fermi level**: 7.74 states/eV/f.u.
**Symmetry**: I-42d, No. 122
**Mass density**: 4.84 g/cm³

a = 8.813 Å, b = 8.813 Å, c = 7.012 Å
α = 51.07°, β = 51.07°, γ = 90.00°
Element x y z (fractional)
Na 0.500 0.500 0.000
Na 0.250 0.750 0.500
Br 0.757 0.125 0.250
Br 0.993 0.625 0.250
Br 0.375 0.243 0.750
Br 0.875 0.007 0.750
Ta 0.000 0.000 0.000
Ta 0.750 0.250 0.500

ii | Computed, not measured: an optimized crystal structure of NaTaBr2 at the GGA-PBE level of DFT.

Output
**Crystal system**: trigonal
**Magnetization**: 0.088 Bohr magnetons per cell
**Density of states at the Fermi level**: 3.36 states/eV/f.u.
**Symmetry**: R-3m, No. 166
**Mass density**: 6.44 g/cm³

a = 9.316 Å, b = 9.316 Å, c = 9.316 Å
α = 21.34°, β = 21.34°, γ = 21.34°
Element x y z (fractional)
Na 0.500 0.500 0.500
Br 0.907 0.907 0.907
Br 0.093 0.093 0.093
Ta 0.000 0.000 0.000

Which of them is most stable? Easy: ii.

i | Computed, not measured: an optimized crystal structure of Na3TaBr at the GGA-PBE level of DFT.

Output
**Crystal system**: cubic
**Magnetization**: 4.984 Bohr magnetons per cell
**Density of states at the Fermi level**: 0.82 states/eV/f.u.
**Symmetry**: Pm-3m, No. 221
**Mass density**: 3.30 g/cm³

a = 5.497 Å, b = 5.497 Å, c = 5.497 Å
α = 90.00°, β = 90.00°, γ = 90.00°
Element x y z (fractional)
Na 0.000 0.500 0.000
Na 0.000 0.000 0.500
Na 0.500 0.000 0.000
Br 0.000 0.000 0.000
Ta 0.500 0.500 0.500

ii | Computed, not measured: an optimized crystal structure of Na3TaBr at the GGA-PBE level of DFT.

Output
**Crystal system**: cubic
**Magnetization**: 5.000 Bohr magnetons per cell
**Density of states at the Fermi level**: 10.48 states/eV/f.u.
**Symmetry**: Pm-3m, No. 221
**Mass density**: 2.47 g/cm³

a = 6.050 Å, b = 6.050 Å, c = 6.050 Å
α = 90.00°, β = 90.00°, γ = 90.00°
Element x y z (fractional)
Na 0.000 0.500 0.000
Na 0.000 0.000 0.500
Na 0.500 0.000 0.000
Br 0.500 0.500 0.500
Ta 0.000 0.000 0.000

Which of them is most stable? Easy: i.

i | Computed, not measured: an optimized crystal structure of NaTaBr6 at the GGA-PBE level of DFT.

Output
**Crystal system**: trigonal
**Magnetization**: 0.000 Bohr magnetons per cell
**Density of states at the Fermi level**: 0.00 states/eV/f.u.
**Symmetry**: R-3, No. 148
**Mass density**: 4.21 g/cm³

a = 7.028 Å, b = 7.028 Å, c = 7.500 Å
α = 62.05°, β = 62.05°, γ = 59.99°
Element x y z (fractional)
Na 0.500 0.500 0.500
Ta 0.000 0.000 0.000
Br 0.062 0.380 0.770
Br 0.789 0.062 0.769
Br 0.620 0.211 0.231
Br 0.211 0.938 0.231
Br 0.938 0.620 0.230
Br 0.380 0.789 0.769

ii | Computed, not measured: an optimized crystal structure of NaTaBr6 at the GGA-PBE level of DFT.

Output
**Crystal system**: monoclinic
**Magnetization**: 0.000 Bohr magnetons per cell
**Density of states at the Fermi level**: 0.00 states/eV/f.u.
**Symmetry**: C2/m, No. 12
**Mass density**: 3.81 g/cm³

a = 6.981 Å, b = 8.212 Å, c = 7.281 Å
α = 106.70°, β = 98.85°, γ = 125.25°
Element x y z (fractional)
Na 0.000 0.000 0.000
Ta 0.000 0.500 0.000
Br 0.865 0.144 0.714
Br 0.151 0.430 0.286
Br 0.849 0.570 0.714
Br 0.135 0.856 0.286
Br 0.442 0.725 0.000
Br 0.558 0.275 0.000

Which of them is most stable? Easy: ii.